! PBE AlCrCoBi2, relaxed; values from VASP
&SYSTEM
  ibrav = 0, nat = 5, ntyp = 4
/
ATOMIC_SPECIES
Al 26.98 Al.upf
Cr 52.00 Cr.upf
Co 58.93 Co.upf
Bi 208.98 Bi.upf
ATOMIC_POSITIONS crystal
Al 0.000 0.000 0.000
Cr 0.000 0.000 0.500
Co 0.500 0.500 0.500
Bi 0.000 0.500 0.000
Bi 0.500 0.000 0.000
CELL_PARAMETERS angstrom
5.388 0.000 0.000
0.000 5.388 0.000
0.000 0.000 4.787
! DFT total energy: -21.83 eV for the cell shown
! Space group: No. 123
! Density of states at the Fermi level: 0.897 states/eV/atom
! Energy relative to the elements: 6.41 eV per formula unit
! M_tot: 5.71 μB per formula unit